PaH2Pt GGA-PBE relaxed; spin magnetization = 0.0 μB per cell; final energy = -5.966 eV/atom; DOS at the Fermi energy = 0.69 states/eV/atom
1.0
1.901 1.097 4.047
-1.901 1.097 4.047
0.000 -2.195 4.047
Pa H Pt
1 2 1
Cartesian
0.000 0.000 0.000
0.000 0.000 3.463
0.000 0.000 8.677
0.000 0.000 6.070